Entry 1:
The following is a DFT calculation (PBE) of an optimized crystal structure of YMgCuB.

Cell lengths 4.4563, 4.4563, 4.4563 Å; angles 60.00, 60.00, 60.00 degrees
With the nearest neighbours (Å) after each atom.
Element x y z (fractional)
Cu 0.2500 0.2500 0.2500  4 Y 2.73, 4 B 2.73
B 0.0000 0.0000 0.0000  4 Mg 2.73, 4 Cu 2.73
Mg 0.7500 0.7500 0.7500  4 Y 2.73, 4 B 2.73
Y 0.5000 0.5000 0.5000  4 Cu 2.73, 4 Mg 2.73

Output
Total DFT energy (no corrections) ... -16.356 eV per cell

=====

Entry 2:
The following is a DFT calculation (PBE) of an optimized crystal structure of YMgCuB.

Cell lengths 4.4619, 4.4619, 4.4619 Å; angles 60.00, 60.00, 60.00 degrees
With the nearest neighbours (Å) after each atom.
Element x y z (fractional)
Mg 0.5000 0.5000 0.5000  4 Cu 2.73, 4 Y 2.73
B 0.0000 0.0000 0.0000  4 Y 2.73, 4 Cu 2.73
Cu 0.7500 0.7500 0.7500  4 Mg 2.73, 4 B 2.73
Y 0.2500 0.2500 0.2500  4 Mg 2.73, 4 B 2.73

Output
Total DFT energy (no corrections) ... -16.893 eV per cell

=====

Entry 3:
The following is a DFT calculation (PBE) of an optimized crystal structure of CuBMo.

Cell lengths 3.8812, 3.8812, 3.8812 Å; angles 60.00, 60.00, 60.00 degrees
With the nearest neighbours (Å) after each atom.
Element x y z (fractional)
B 0.2500 0.2500 0.2500  4 Mo 2.38
Cu 0.7500 0.7500 0.7500  4 Mo 2.38
Mo 0.0000 0.0000 0.0000  4 B 2.38, 4 Cu 2.38

Output
Total DFT energy (no corrections) ... -18.047 eV per cell

=====

Entry 4:
The following is a DFT calculation (PBE) of an optimized crystal structure of CuBMo2.

Cell lengths 3.0937, 3.0937, 12.9138 Å; angles 90.00, 90.00, 120.00 degrees
With the nearest neighbours (Å) after each atom.
Element x y z (fractional)
Mo 0.6667 0.3333 0.5919  3 B 2.14
Mo 0.3333 0.6667 0.0919  3 B 2.14
Mo 0.6667 0.3333 0.9081  3 B 2.14
Mo 0.3333 0.6667 0.4081  3 B 2.14
Cu 0.6667 0.3333 0.2500  6 Mo 2.71
Cu 0.3333 0.6667 0.7500  6 Mo 2.71
B 0.0000 0.0000 0.5000  6 Mo 2.14
B 0.0000 0.0000 0.0000  6 Mo 2.14

Output
Total DFT energy (no corrections) ... -63.544 eV per cell

=====

Entry 5:
The following is a DFT calculation (PBE) of an optimized crystal structure of CuB3Mo3.

Cell lengths 4.5535, 4.5535, 10.8452 Å; angles 90.00, 90.00, 138.75 degrees
With the nearest neighbours (Å) after each atom.
Element x y z (fractional)
Mo 0.9975 0.0025 0.2500  7 B 2.36-2.51
Mo 0.2879 0.7121 0.6099  5 B 2.30-2.56
Mo 0.2879 0.7121 0.8901  5 B 2.30-2.56
Mo 0.0025 0.9975 0.7500  7 B 2.36-2.51
Mo 0.7121 0.2879 0.3901  5 B 2.30-2.56
Mo 0.7121 0.2879 0.1099  5 B 2.30-2.56
Cu 0.0000 0.0000 0.0000  4 B 2.14
Cu 0.0000 0.0000 0.5000  4 B 2.14
B 0.2921 0.7079 0.2500  2 B 1.83
B 0.5942 0.4058 0.6073  1 B 1.83
B 0.4058 0.5942 0.1073  1 B 1.83
B 0.7079 0.2921 0.7500  2 B 1.83
B 0.4058 0.5942 0.3927  1 B 1.83
B 0.5942 0.4058 0.8927  1 B 1.83

Output
Total DFT energy (no corrections) ... -117.190 eV per cell

=====

Entry 6:
The following is a DFT calculation (PBE) of an optimized crystal structure of CuBMo.

Cell lengths 3.8010, 3.8010, 3.8010 Å; angles 60.00, 60.00, 60.00 degrees
With the nearest neighbours (Å) after each atom.
Element x y z (fractional)
Mo 0.7500 0.7500 0.7500  4 Cu 2.33
B 0.2500 0.2500 0.2500  4 Cu 2.33
Cu 0.0000 0.0000 0.0000  4 B 2.33, 4 Mo 2.33

Output
Total DFT energy (no corrections) ... -18.038 eV per cell

=====

Entry 7:
The following is a DFT calculation (PBE) of an optimized crystal structure of CuBMo2.

Cell lengths 4.1914, 4.1914, 4.1914 Å; angles 60.00, 60.00, 60.00 degrees
With the nearest neighbours (Å) after each atom.
Element x y z (fractional)
Mo 0.7500 0.7500 0.7500  4 Mo 2.57, 4 B 2.57
Mo 0.0000 0.0000 0.0000  4 Mo 2.57, 4 Cu 2.57
B 0.5000 0.5000 0.5000  4 Cu 2.57, 4 Mo 2.57
Cu 0.2500 0.2500 0.2500  4 B 2.57, 4 Mo 2.57

Output
Total DFT energy (no corrections) ... -29.218 eV per cell

=====

Entry 8:
The following is a DFT calculation (PBE) of an optimized crystal structure of CuB2Mo3.

Cell lengths 3.1127, 3.1127, 18.1253 Å; angles 90.00, 90.00, 120.00 degrees
With the nearest neighbours (Å) after each atom.
Element x y z (fractional)
Cu 0.0000 0.0000 0.2500  6 Mo 2.72
Cu 0.0000 0.0000 0.7500  6 Mo 2.72
Mo 0.6667 0.3333 0.3626  3 B 2.14
Mo 0.0000 0.0000 0.0000  6 B 2.24
Mo 0.3333 0.6667 0.8626  3 B 2.14
Mo 0.0000 0.0000 0.5000  6 B 2.24
Mo 0.6667 0.3333 0.1374  3 B 2.14
Mo 0.3333 0.6667 0.6374  3 B 2.14
B 0.6667 0.3333 0.5734  6 Mo 2.14-2.24
B 0.3333 0.6667 0.0734  6 Mo 2.14-2.24
B 0.6667 0.3333 0.9266  6 Mo 2.14-2.24
B 0.3333 0.6667 0.4266  6 Mo 2.14-2.24

Output
Total DFT energy (no corrections) ... -99.436 eV per cell